[1]
{
  "formula": "LiHg3F",
  "functional": "PBE",
  "state": "optimized geometry",
  "relative_energy_mev_per_atom": 0.0,
  "e_tot_ev_per_atom": -1.302,
  "n_ef_per_ev_atom": 1.695,
  "lattice": [[-2.198, -3.725, 2.770], [2.211, -3.535, -3.000], [4.082, -0.092, 3.117]],
  "species": ["Hg", "Hg", "Hg", "Li", "F"],
  "fractional_positions": [[0.000, 0.500, 0.000], [0.000, 0.000, 0.500], [0.500, 0.000, 0.000], [0.000, 0.000, 0.000], [0.500, 0.500, 0.500]]
}


[2]
{
  "formula": "Li2HgF4",
  "functional": "PBE",
  "state": "optimized geometry",
  "relative_energy_mev_per_atom": 281.7,
  "e_tot_ev_per_atom": -3.633,
  "n_ef_per_ev_atom": 0.000,
  "lattice": [[-0.918, 1.949, -4.071], [-4.108, 1.360, 1.577], [-0.269, 6.392, 0.514]],
  "species": ["F", "F", "F", "F", "Li", "Li", "Hg"],
  "fractional_positions": [[0.000, 0.500, 0.000], [0.798, 0.798, 0.404], [0.500, 0.000, 0.000], [0.202, 0.202, 0.596], [0.640, 0.640, 0.719], [0.360, 0.360, 0.281], [0.000, 0.000, 0.000]]
}


[3]
{
  "formula": "LiHgF6",
  "functional": "PBE",
  "state": "optimized geometry",
  "e_tot_ev_per_atom": -2.879,
  "n_ef_per_ev_atom": 0.770,
  "lattice": [[-5.079, -0.164, -0.970], [-3.211, -2.239, 3.381], [-3.312, 3.284, 2.988]],
  "species": ["F", "F", "F", "F", "F", "F", "Li", "Hg"],
  "fractional_positions": [[0.745, 0.102, 0.755], [0.102, 0.398, 0.755], [0.602, 0.256, 0.245], [0.898, 0.602, 0.245], [0.255, 0.898, 0.245], [0.398, 0.744, 0.755], [0.000, 0.000, 0.000], [0.500, 0.500, 0.500]]
}


[4]
{
  "formula": "LiHg3F",
  "functional": "PBE",
  "state": "optimized geometry",
  "relative_energy_mev_per_atom": 54.4,
  "e_tot_ev_per_atom": -1.248,
  "n_ef_per_ev_atom": 0.025,
  "lattice": [[-0.867, 2.086, 4.787], [2.040, -4.332, 2.257], [4.807, 2.215, -0.094]],
  "species": ["F", "Li", "Hg", "Hg", "Hg"],
  "fractional_positions": [[0.000, 0.000, 0.000], [0.500, 0.500, 0.500], [0.000, 0.000, 0.500], [0.000, 0.500, 0.000], [0.500, 0.000, 0.000]]
}


Number 1: E_form (uncorrected) -35.1 kJ per mole of atoms. Number 2: E_form (uncorrected) -190.4 kJ per mole of atoms. Number 3: E_form (uncorrected) -115.6 kJ per mole of atoms. Number 4: E_form (uncorrected) -29.9 kJ per mole of atoms.